Material: BeGeNF2
Method: DFT, PBE-GGA
State: optimized geometry

Cell lengths 3.1561, 3.1561, 5.5584 Å; angles 90.00, 90.00, 90.00 degrees
Positions (direct):
Be 0.0000 0.0000 0.0000
Ge 0.5000 0.5000 0.5000
N 0.0000 0.0000 0.5000
F 0.0000 0.5000 0.0000
F 0.5000 0.0000 0.0000

Output
Its total magnetization is 0.0 μB per cell. The calculation puts the polymorph energy (0 for the lowest one) at 0.0 meV per atom. Its electronic total energy is -5.30 eV per atom. Its formation energy from raw total energies is -6.095 eV/f.u.

=====

Material: BeGeNF2
Method: DFT, PBE-GGA
State: optimized geometry

Cell lengths 3.9848, 3.9848, 3.7636 Å; angles 90.00, 90.00, 90.00 degrees
Positions (direct):
Be 0.0000 0.0000 0.0000
Ge 0.5000 0.5000 0.5000
N 0.5000 0.5000 0.0000
F 0.0000 0.5000 0.5000
F 0.5000 0.0000 0.5000

Output
Its total magnetization is 0.2 μB per cell. The calculation puts the polymorph energy (0 for the lowest one) at 1007.2 meV per atom. Its electronic total energy is -4.29 eV per atom. Its formation energy from raw total energies is -1.059 eV/f.u.

=====

Material: Na2BeGeF
Method: DFT, PBE-GGA
State: optimized geometry

Cell lengths 5.7841, 5.7841, 4.1971 Å; angles 90.00, 90.00, 90.00 degrees
Positions (direct):
Na 0.0000 0.5000 0.0000
Na 0.5000 0.0000 0.0000
Be 0.0000 0.0000 0.5000
Ge 0.5000 0.5000 0.0000
F 0.5000 0.5000 0.5000

Output
Its total magnetization is 0.5 μB per cell. Its electronic total energy is -2.43 eV per atom. Its formation energy from raw total energies is 0.690 eV/f.u.

=====

Material: BeGeOF2
Method: DFT, PBE-GGA
State: optimized geometry

Cell lengths 3.4285, 3.4285, 4.1162 Å; angles 90.00, 90.00, 90.00 degrees
Positions (direct):
Be 0.0000 0.0000 0.0000
Ge 0.5000 0.5000 0.5000
O 0.0000 0.0000 0.5000
F 0.0000 0.5000 0.0000
F 0.5000 0.0000 0.0000

Output
Its total magnetization is 0.0 μB per cell. The calculation puts the polymorph energy (0 for the lowest one) at 0.0 meV per atom. Its electronic total energy is -5.30 eV per atom. Its formation energy from raw total energies is -9.445 eV/f.u.

=====

Material: BeGeOF2
Method: DFT, PBE-GGA
State: optimized geometry

Cell lengths 4.2213, 4.2213, 3.7550 Å; angles 90.00, 90.00, 90.00 degrees
Positions (direct):
Be 0.0000 0.0000 0.0000
Ge 0.5000 0.5000 0.5000
O 0.5000 0.5000 0.0000
F 0.0000 0.5000 0.5000
F 0.5000 0.0000 0.5000

Output
Its total magnetization is 0.9 μB per cell. The calculation puts the polymorph energy (0 for the lowest one) at 1083.2 meV per atom. Its electronic total energy is -4.21 eV per atom. Its formation energy from raw total energies is -4.029 eV/f.u.

=====

Material: Be2GeRuF
Method: DFT, PBE-GGA
State: optimized geometry

Cell lengths 4.1782, 4.1782, 4.7288 Å; angles 90.00, 90.00, 90.00 degrees
Positions (direct):
Be 0.0000 0.5000 0.0000
Be 0.5000 0.0000 0.0000
Ge 0.0000 0.0000 0.5000
Ru 0.0000 0.0000 0.0000
F 0.5000 0.5000 0.5000

Output
Its total magnetization is 0.0 μB per cell. Its electronic total energy is -4.49 eV per atom. Its formation energy from raw total energies is 0.758 eV/f.u.

=====

Material: BeGeSb2F
Method: DFT, PBE-GGA
State: optimized geometry

Cell lengths 4.8782, 4.8782, 4.3970 Å; angles 90.00, 90.00, 90.00 degrees
Positions (direct):
Be 0.0000 0.0000 0.0000
Ge 0.0000 0.0000 0.5000
Sb 0.0000 0.5000 0.0000
Sb 0.5000 0.0000 0.0000
F 0.5000 0.5000 0.5000

Output
Its total magnetization is 0.0 μB per cell. Its electronic total energy is -3.60 eV per atom. Its formation energy from raw total energies is 0.443 eV/f.u.

=====

Material: BeGe2SeF
Method: DFT, PBE-GGA
State: optimized geometry

Cell lengths 4.7473, 4.7473, 3.5656 Å; angles 90.00, 90.00, 90.00 degrees
Positions (direct):
Be 0.0000 0.0000 0.0000
Ge 0.0000 0.5000 0.0000
Ge 0.5000 0.0000 0.0000
Se 0.5000 0.5000 0.5000
F 0.0000 0.0000 0.5000

Output
Its total magnetization is 0.0 μB per cell. Its electronic total energy is -4.14 eV per atom. Its formation energy from raw total energies is -2.404 eV/f.u.

=====

Please write out number 4 again, unchanged.
Material: BeGeOF2
Method: DFT, PBE-GGA
State: optimized geometry

Cell lengths 3.4285, 3.4285, 4.1162 Å; angles 90.00, 90.00, 90.00 degrees
Positions (direct):
Be 0.0000 0.0000 0.0000
Ge 0.5000 0.5000 0.5000
O 0.0000 0.0000 0.5000
F 0.0000 0.5000 0.0000
F 0.5000 0.0000 0.0000

Output
Its total magnetization is 0.0 μB per cell. The calculation puts the polymorph energy (0 for the lowest one) at 0.0 meV per atom. Its electronic total energy is -5.30 eV per atom. Its formation energy from raw total energies is -9.445 eV/f.u.

=====

Please write out number 4 again, unchanged.
Material: BeGeOF2
Method: DFT, PBE-GGA
State: optimized geometry

Cell lengths 3.4285, 3.4285, 4.1162 Å; angles 90.00, 90.00, 90.00 degrees
Positions (direct):
Be 0.0000 0.0000 0.0000
Ge 0.5000 0.5000 0.5000
O 0.0000 0.0000 0.5000
F 0.0000 0.5000 0.0000
F 0.5000 0.0000 0.0000

Output
Its total magnetization is 0.0 μB per cell. The calculation puts the polymorph energy (0 for the lowest one) at 0.0 meV per atom. Its electronic total energy is -5.30 eV per atom. Its formation energy from raw total energies is -9.445 eV/f.u.